{
  "formula": "ScCr2CuNi",
  "functional": "PBE-GGA",
  "state": "optimized geometry",
  "cell": [[4.684, 0.000, 0.000], [0.000, 4.684, 0.000], [0.000, 0.000, 4.309]],
  "species": ["Sc", "Cr", "Cr", "Cu", "Ni"],
  "frac_coords": [[0.000, 0.000, 0.000], [0.000, 0.500, 0.000], [0.500, 0.000, 0.000], [0.500, 0.500, 0.500], [0.000, 0.000, 0.500]],
  "formation_energy_kcal_per_mol_atoms": 36.73
}

{
  "formula": "Cr4CuNiSe8",
  "functional": "PBE-GGA",
  "state": "optimized geometry",
  "cell": [[0.000, 5.177, 5.177], [5.177, 0.000, 5.177], [5.177, 5.177, 0.000]],
  "species": ["Cr", "Cr", "Cr", "Cr", "Cu", "Ni", "Se", "Se", "Se", "Se", "Se", "Se", "Se", "Se"],
  "frac_coords": [[0.125, 0.125, 0.125], [0.125, 0.125, 0.626], [0.125, 0.626, 0.125], [0.626, 0.125, 0.125], [0.500, 0.500, 0.500], [0.750, 0.750, 0.750], [0.359, 0.880, 0.880], [0.367, 0.367, 0.367], [0.367, 0.367, 0.899], [0.367, 0.899, 0.367], [0.880, 0.359, 0.880], [0.880, 0.880, 0.359], [0.880, 0.880, 0.880], [0.899, 0.367, 0.367]],
  "e_form_raw_ev_per_atom": -0.473
}

{
  "formula": "Sm2CrCu3Ni12",
  "functional": "PBE-GGA",
  "state": "optimized geometry",
  "cell": [[3.003, 1.734, 8.377], [-3.003, 1.734, 8.377], [0.000, -3.468, 8.377]],
  "species": ["Sm", "Sm", "Cr", "Cu", "Cu", "Cu", "Ni", "Ni", "Ni", "Ni", "Ni", "Ni", "Ni", "Ni", "Ni", "Ni", "Ni", "Ni"],
  "frac_coords": [[0.153, 0.153, 0.153], [0.847, 0.847, 0.847], [0.500, 0.500, 0.500], [0.000, 0.500, 0.500], [0.500, 0.000, 0.500], [0.500, 0.500, 0.000], [0.078, 0.078, 0.688], [0.078, 0.688, 0.078], [0.151, 0.570, 0.570], [0.312, 0.922, 0.922], [0.430, 0.430, 0.849], [0.430, 0.849, 0.430], [0.570, 0.151, 0.570], [0.570, 0.570, 0.151], [0.688, 0.078, 0.078], [0.849, 0.430, 0.430], [0.922, 0.312, 0.922], [0.922, 0.922, 0.312]],
  "formation_energy_kcal_per_mol_atoms": 5.82
}

{
  "formula": "CrCuNiSn",
  "functional": "PBE-GGA",
  "state": "optimized geometry",
  "cell": [[0.000, 3.071, 3.071], [3.071, 0.000, 3.071], [3.071, 3.071, 0.000]],
  "species": ["Cr", "Cu", "Ni", "Sn"],
  "frac_coords": [[0.000, 0.000, 0.000], [0.750, 0.750, 0.750], [0.250, 0.250, 0.250], [0.500, 0.500, 0.500]],
  "formation_energy_kcal_per_mol_atoms": 1.63
}